Th2ScAlPt6 PBE relaxed; energy of formation from the pure elements = -93 kJ per mole of atoms; raw total energy = -0.5203 Ry/atom
1.0
-2.471 -6.329 1.080
5.695 -2.980 1.675
0.270 -1.598 5.254
Th Sc Al Pt
2 1 1 6
direct
0.298 0.807 0.448
0.702 0.193 0.552
0.500 0.500 0.000
0.000 0.000 0.000
0.095 0.599 0.153
0.743 0.769 0.998
0.257 0.230 0.510
0.905 0.401 0.847
0.257 0.231 0.002
0.743 0.770 0.490